This record from Alexandria via LeMat-Bulk describes TlCuAu after structural relaxation. The functional is PBE-GGA.

Unit cell a=4.4896 b=4.4896 c=3.5310 alpha=90.00 beta=90.00 gamma=120.00
Atoms (fractional coordinates):
1 Tl 0.0000 0.0000 0.0000
2 Cu 0.3333 0.6667 0.5013
3 Au 0.6667 0.3333 0.4999

Results
E_form: 0.18 eV per atom
Magnetic moment: 0.00 Bohr magnetons per cell
Calculated density: 12.52 g/cm³
Electronic total energy: -9.21 eV/cell